DFT (PBE) results for a relaxed SrBeSbI2 crystal.

## Properties
M_tot (μB/f.u.): 0.0
Energy above the most stable polymorph in this dataset (meV per atom): 0
Formation energy from raw total energies (eV/atom): -0.31
SG: P4/mmm (123)

abc: 5.4957 5.4957 5.0905
angles: 90.00 90.00 90.00
Last column: nearest neighbours and their distance in Å.
Positions (direct):
I  0.0000  0.5000  0.0000  2 Be 2.75
I  0.5000  0.0000  0.0000  2 Be 2.75
Sr  0.5000  0.5000  0.5000  8 I 3.75, 4 Sb 3.89
Be  0.0000  0.0000  0.0000  2 Sb 2.55, 4 I 2.75
Sb  0.0000  0.0000  0.5000  2 Be 2.55


DFT (PBE) results for a relaxed SrBeSbI2 crystal.

## Properties
M_tot (μB/f.u.): 2.1
Energy above the most stable polymorph in this dataset (meV per atom): 664
Formation energy from raw total energies (eV/atom): 0.35
SG: P4/mmm (123)

abc: 6.3167 6.3167 6.7991
angles: 90.00 90.00 90.00
Last column: nearest neighbours and their distance in Å.
Positions (direct):
I  0.0000  0.5000  0.0000  2 Sr 3.16
I  0.5000  0.0000  0.0000  2 Sr 3.16
Be  0.5000  0.5000  0.5000  4 Sb 4.47, 8 I 4.64
Sb  0.0000  0.0000  0.5000  2 Sr 3.40
Sr  0.0000  0.0000  0.0000  4 I 3.16, 2 Sb 3.40


DFT (PBE) results for a relaxed TaBeSb2I crystal.

## Properties
M_tot (μB/f.u.): 0.0
Energy above the most stable polymorph in this dataset (meV per atom): 0
Formation energy from raw total energies (eV/atom): 0.94
SG: P4/mmm (123)

abc: 5.3540 5.3540 5.6680
angles: 90.00 90.00 90.00
Last column: nearest neighbours and their distance in Å.
Positions (direct):
Sb  0.0000  0.5000  0.0000  2 Ta 2.68
Sb  0.5000  0.0000  0.0000  2 Ta 2.68
I  0.0000  0.0000  0.5000  2 Ta 2.83
Ta  0.0000  0.0000  0.0000  4 Sb 2.68, 2 I 2.83
Be  0.5000  0.5000  0.5000  4 I 3.79, 8 Sb 3.90


DFT (PBE) results for a relaxed TaBeSb2I crystal.

## Properties
M_tot (μB/f.u.): 2.1
Energy above the most stable polymorph in this dataset (meV per atom): 141
Formation energy from raw total energies (eV/atom): 1.08
SG: P4/mmm (123)

abc: 4.7878 4.7878 5.2330
angles: 90.00 90.00 90.00
Last column: nearest neighbours and their distance in Å.
Positions (direct):
Be  0.0000  0.0000  0.0000  4 Sb 2.39, 2 I 2.62
Sb  0.0000  0.5000  0.0000  2 Be 2.39
Sb  0.5000  0.0000  0.0000  2 Be 2.39
I  0.0000  0.0000  0.5000  2 Be 2.62
Ta  0.5000  0.5000  0.5000  4 I 3.39, 8 Sb 3.55


DFT (PBE) results for a relaxed BeTcSb2I crystal.

## Properties
M_tot (μB/f.u.): 3.0
Energy above the most stable polymorph in this dataset (meV per atom): 164
Formation energy from raw total energies (eV/atom): 1.11
SG: P4/mmm (123)

abc: 4.8428 4.8428 5.2592
angles: 90.00 90.00 90.00
Last column: nearest neighbours and their distance in Å.
Positions (direct):
Tc  0.5000  0.5000  0.5000  4 I 3.42, 8 Sb 3.57
Sb  0.5000  0.0000  0.0000  2 Be 2.42
Sb  0.0000  0.5000  0.0000  2 Be 2.42
I  0.0000  0.0000  0.5000  2 Be 2.63
Be  0.0000  0.0000  0.0000  4 Sb 2.42, 2 I 2.63


DFT (PBE) results for a relaxed BeTcSb2I crystal.

## Properties
M_tot (μB/f.u.): 0.0
Energy above the most stable polymorph in this dataset (meV per atom): 0
Formation energy from raw total energies (eV/atom): 0.94
SG: P4/mmm (123)

abc: 5.0560 5.0560 5.8818
angles: 90.00 90.00 90.00
Last column: nearest neighbours and their distance in Å.
Positions (direct):
Sb  0.5000  0.0000  0.0000  2 Tc 2.53
Sb  0.0000  0.5000  0.0000  2 Tc 2.53
Tc  0.0000  0.0000  0.0000  4 Sb 2.53
I  0.0000  0.0000  0.5000  2 Tc 2.94
Be  0.5000  0.5000  0.5000  4 I 3.58, 8 Sb 3.88


DFT (PBE) results for a relaxed BeTcSbI2 crystal.

## Properties
M_tot (μB/f.u.): 4.0
Energy above the most stable polymorph in this dataset (meV per atom): 87
Formation energy from raw total energies (eV/atom): 1.07
SG: P4/mmm (123)

abc: 5.1298 5.1298 5.1722
angles: 90.00 90.00 90.00
Last column: nearest neighbours and their distance in Å.
Positions (direct):
Sb  0.0000  0.0000  0.5000  2 Be 2.59
I  0.5000  0.0000  0.0000  2 Be 2.56
I  0.0000  0.5000  0.0000  2 Be 2.56
Tc  0.5000  0.5000  0.5000  4 Sb 3.63, 8 I 3.64
Be  0.0000  0.0000  0.0000  4 I 2.56, 2 Sb 2.59


DFT (PBE) results for a relaxed BeTcSbI2 crystal.

## Properties
M_tot (μB/f.u.): 1.3
Energy above the most stable polymorph in this dataset (meV per atom): 0
Formation energy from raw total energies (eV/atom): 0.99
SG: P4/mmm (123)

abc: 5.5792 5.5792 5.1140
angles: 90.00 90.00 90.00
Last column: nearest neighbours and their distance in Å.
Positions (direct):
I  0.5000  0.0000  0.0000  2 Tc 2.79
I  0.0000  0.5000  0.0000  2 Tc 2.79
Sb  0.0000  0.0000  0.5000  2 Tc 2.56
Tc  0.0000  0.0000  0.0000  2 Sb 2.56, 4 I 2.79
Be  0.5000  0.5000  0.5000  8 I 3.78, 4 Sb 3.95


DFT (PBE) results for a relaxed BeSbTeI2 crystal.

## Properties
M_tot (μB/f.u.): 0.0
Energy above the most stable polymorph in this dataset (meV per atom): 75
Formation energy from raw total energies (eV/atom): 0.37
SG: P4/mmm (123)

abc: 5.0412 5.0412 5.5175
angles: 90.00 90.00 90.00
Last column: nearest neighbours and their distance in Å.
Positions (direct):
Te  0.5000  0.5000  0.5000  4 Sb 3.56, 8 I 3.74
Be  0.0000  0.0000  0.0000  4 I 2.52, 2 Sb 2.76
I  0.0000  0.5000  0.0000  2 Be 2.52
I  0.5000  0.0000  0.0000  2 Be 2.52
Sb  0.0000  0.0000  0.5000  2 Be 2.76


DFT (PBE) results for a relaxed BeSbTeI2 crystal.

## Properties
M_tot (μB/f.u.): 1.7
Energy above the most stable polymorph in this dataset (meV per atom): 676
Formation energy from raw total energies (eV/atom): 0.97
SG: P4/mmm (123)

abc: 6.0838 6.0838 6.0703
angles: 90.00 90.00 90.00
Last column: nearest neighbours and their distance in Å.
Positions (direct):
Sb  0.0000  0.0000  0.5000  2 Te 3.04
I  0.5000  0.0000  0.0000  2 Te 3.04
I  0.0000  0.5000  0.0000  2 Te 3.04
Be  0.5000  0.5000  0.5000  8 I 4.30, 4 Sb 4.30
Te  0.0000  0.0000  0.0000  2 Sb 3.04, 4 I 3.04


DFT (PBE) results for a relaxed BeSb2TeI crystal.

## Properties
M_tot (μB/f.u.): 0.0
Energy above the most stable polymorph in this dataset (meV per atom): 14
Formation energy from raw total energies (eV/atom): 0.43
SG: P4/mmm (123)

abc: 5.2414 5.2414 4.8532
angles: 90.00 90.00 90.00
Last column: nearest neighbours and their distance in Å.
Positions (direct):
Sb  0.0000  0.5000  0.0000  2 Be 2.62
Sb  0.5000  0.0000  0.0000  2 Be 2.62
Te  0.0000  0.0000  0.5000  2 Be 2.43
Be  0.0000  0.0000  0.0000  2 Te 2.43, 4 Sb 2.62
I  0.5000  0.5000  0.5000  8 Sb 3.57, 4 Te 3.71


DFT (PBE) results for a relaxed BeSb2TeI crystal.

## Properties
M_tot (μB/f.u.): 1.4
Energy above the most stable polymorph in this dataset (meV per atom): 821
Formation energy from raw total energies (eV/atom): 1.23
SG: P4/mmm (123)

abc: 5.8315 5.8315 6.1309
angles: 90.00 90.00 90.00
Last column: nearest neighbours and their distance in Å.
Positions (direct):
Sb  0.5000  0.0000  0.0000  2 Te 2.92
Sb  0.0000  0.5000  0.0000  2 Te 2.92
I  0.0000  0.0000  0.5000  2 Te 3.07
Te  0.0000  0.0000  0.0000  4 Sb 2.92, 2 I 3.07
Be  0.5000  0.5000  0.5000  4 I 4.12, 8 Sb 4.23


DFT (PBE) results for a relaxed BeSb2TeI crystal.

## Properties
M_tot (μB/f.u.): 0.0
Energy above the most stable polymorph in this dataset (meV per atom): 0
Formation energy from raw total energies (eV/atom): 0.41
SG: P4/mmm (123)

abc: 5.2141 5.2141 4.8608
angles: 90.00 90.00 90.00
Last column: nearest neighbours and their distance in Å.
Positions (direct):
Te  0.5000  0.5000  0.5000  8 Sb 3.56, 4 I 3.69
Sb  0.0000  0.5000  0.0000  2 Be 2.61
Sb  0.5000  0.0000  0.0000  2 Be 2.61
I  0.0000  0.0000  0.5000  2 Be 2.43
Be  0.0000  0.0000  0.0000  2 I 2.43, 4 Sb 2.61


DFT (PBE) results for a relaxed BeSbTeI2 crystal.

## Properties
M_tot (μB/f.u.): 0.5
Energy above the most stable polymorph in this dataset (meV per atom): 446
Formation energy from raw total energies (eV/atom): 0.74
SG: P4/mmm (123)

abc: 6.0190 6.0190 5.7797
angles: 90.00 90.00 90.00
Last column: nearest neighbours and their distance in Å.
Positions (direct):
Sb  0.0000  0.0000  0.0000  2 Te 2.89, 4 I 3.01
I  0.5000  0.0000  0.0000  2 Sb 3.01
I  0.0000  0.5000  0.0000  2 Sb 3.01
Be  0.5000  0.5000  0.5000  8 I 4.17, 4 Te 4.26
Te  0.0000  0.0000  0.5000  2 Sb 2.89


DFT (PBE) results for a relaxed BeSb2TeI crystal.

## Properties
M_tot (μB/f.u.): 0.9
Energy above the most stable polymorph in this dataset (meV per atom): 1135
Formation energy from raw total energies (eV/atom): 1.55
SG: P4/mmm (123)

abc: 5.8669 5.8669 5.7673
angles: 90.00 90.00 90.00
Last column: nearest neighbours and their distance in Å.
Positions (direct):
Be  0.5000  0.5000  0.5000  8 Sb 4.11, 4 Te 4.15
Te  0.0000  0.0000  0.5000  2 I 2.88
Sb  0.0000  0.5000  0.0000  2 I 2.93
Sb  0.5000  0.0000  0.0000  2 I 2.93
I  0.0000  0.0000  0.0000  2 Te 2.88, 4 Sb 2.93